DFT (PBE-GGA) results for a relaxed structure of BaNd2Sn.

Structure (CIF):
```
data_BaNd2Sn
_space_group_name_H-M_alt 'R 3 m'
_space_group_IT_number 160
_space_group_name_Hall 'R 3 -2"'
_cell_length_a 5.2791
_cell_length_b 5.2791
_cell_length_c 19.9879
_cell_angle_alpha 90.00
_cell_angle_beta 90.00
_cell_angle_gamma 120.00
loop_
_atom_site_label
_atom_site_fract_x
_atom_site_fract_y
_atom_site_fract_z
Ba1 0.0000 0.0000 0.0000
Nd1 0.0000 0.0000 0.5568
Nd2 0.0000 0.0000 0.7869
Sn1 0.0000 0.0000 0.1847
```

Computed properties:
energy: -4.046 eV per atom
formation energy: -0.181 eV/atom
polymorph energy (0 for the lowest one): 0.080 eV/atom
crystal system: trigonal